[1]
This record from Alexandria via LeMat-Bulk describes an optimized crystal structure of Cr5FeH4. The functional is PBE-GGA.

abc: 2.5813 5.1999 6.0281
angles: 75.99 103.33 94.84
Closest atoms and distances in Å follow each position.
Sites, in units of the cell vectors:
Cr (0.7853, 0.8183, 0.6678)  4 H 1.87-1.93
Cr (0.9052, 0.3527, 0.6733)  3 H 1.88-1.93
Cr (0.0948, 0.6473, 0.3267)  3 H 1.88-1.93
Cr (0.5000, 0.5000, 0.0000)  4 H 1.80-1.96
Cr (0.2147, 0.1817, 0.3322)  4 H 1.87-1.93
Fe (0.5000, 0.0000, 0.0000)  6 H 1.71-1.89
H (0.3427, 0.0836, 0.6696)  5 Cr 1.87-1.93, 1 Fe 1.89
H (0.9968, 0.7639, 0.9945)  2 Fe 1.71-1.86, 3 Cr 1.80-1.91
H (0.6573, 0.9164, 0.3304)  5 Cr 1.87-1.93, 1 Fe 1.89
H (0.0032, 0.2361, 0.0055)  2 Fe 1.71-1.86, 3 Cr 1.80-1.91

Computed properties:
For the calculated total energy, the calculation gives -6.94 eV/atom.



[2]
This record from Alexandria via LeMat-Bulk describes an optimized crystal structure of HfGeMo. The functional is PBE-GGA.

abc: 2.8713 4.6288 4.6288
angles: 120.00 90.00 90.00
Closest atoms and distances in Å follow each position.
Sites, in units of the cell vectors:
Mo (0.1667, 0.3333, 0.6667)  3 Ge 2.67, 2 Mo 2.87
Hf (0.6663, 0.6667, 0.3333)  2 Hf 2.87, 6 Ge 3.03, 6 Mo 3.03
Ge (0.1670, 0.0000, 0.0000)  3 Mo 2.67, 2 Ge 2.87

Computed properties:
As for the energy relative to the elements: -20 kJ/mol of formula units. For the calculated total energy, the calculation gives -8.54 eV/atom.



[3]
This record from Alexandria via LeMat-Bulk describes an optimized crystal structure of Na2CdGeBr6. The functional is PBE-GGA.

abc: 7.3207 7.3183 7.7685
angles: 61.87 61.85 59.97
Closest atoms and distances in Å follow each position.
Sites, in units of the cell vectors:
Na (0.5200, 0.5199, 0.4403)  6 Br 2.94-3.06
Na (0.0185, 0.0189, 0.9441)  6 Br 2.98-3.04
Cd (0.3184, 0.3179, 0.0460)  6 Br 2.75-2.93
Ge (0.8190, 0.8184, 0.5438)  6 Br 2.76-2.94
Br (0.5932, 0.2091, 0.2550)  1 Cd 2.75, 1 Ge 2.94, 2 Na 2.94-3.03
Br (0.2089, 0.9429, 0.2548)  1 Cd 2.75, 1 Ge 2.94, 2 Na 2.95-3.04
Br (0.9429, 0.5933, 0.2550)  1 Cd 2.75, 1 Ge 2.94, 2 Na 2.95-3.03
Br (0.4467, 0.7025, 0.7586)  1 Ge 2.76, 1 Cd 2.92, 2 Na 2.98-3.06
Br (0.7025, 0.0917, 0.7590)  1 Ge 2.76, 1 Cd 2.92, 2 Na 2.98-3.06
Br (0.0917, 0.4471, 0.7588)  1 Ge 2.76, 1 Cd 2.93, 2 Na 2.98-3.06

Computed properties:
For the uncorrected formation energy, the calculation gives -10.21 eV/f.u. For the calculated total energy, the calculation gives -2.84 eV/atom.



[4]
This record from Alexandria via LeMat-Bulk describes an optimized crystal structure of La3TbSm4Te8. The functional is PBE-GGA.

abc: 9.0006 8.9548 8.9918
angles: 120.07 120.03 90.00
Closest atoms and distances in Å follow each position.
Sites, in units of the cell vectors:
La (0.5000, 0.5000, 0.0000)  6 Te 3.21
La (0.5000, 0.5000, 0.5000)  6 Te 3.21
La (0.0000, 0.5000, 0.5000)  6 Te 3.21
Tb (0.0000, 0.5000, 0.0000)  6 Te 3.15
Sm (0.5000, 0.0000, 0.0000)  6 Te 3.20
Sm (0.5000, 0.0000, 0.5000)  6 Te 3.14
Sm (0.0000, 0.0000, 0.0000)  6 Te 3.14
Sm (0.0000, 0.0000, 0.5000)  6 Te 3.14
Te (0.2478, 0.7539, 0.0061)  3 Sm 3.14-3.20, 1 Tb 3.15, 2 La 3.21
Te (0.2477, 0.7538, 0.4955)  3 Sm 3.14-3.20, 1 Tb 3.15, 2 La 3.21
Te (0.2469, 0.2407, 0.4938)  3 Sm 3.14, 3 La 3.21
Te (0.7583, 0.7539, 0.0061)  3 Sm 3.14-3.20, 1 Tb 3.15, 2 La 3.21
Te (0.2417, 0.2461, 0.9939)  3 Sm 3.14-3.20, 1 Tb 3.15, 2 La 3.21
Te (0.7531, 0.7593, 0.5062)  3 Sm 3.14, 3 La 3.21
Te (0.7523, 0.2462, 0.5045)  3 Sm 3.14-3.20, 1 Tb 3.15, 2 La 3.21
Te (0.7522, 0.2461, 0.9939)  3 Sm 3.14-3.20, 1 Tb 3.15, 2 La 3.21

Computed properties:
For the uncorrected formation energy, the calculation gives -23.18 eV/f.u. For the calculated total energy, the calculation gives -5.41 eV/atom.



Question: Which of these has the highest calculated total energy?
Answer: Na2CdGeBr6